(1)
# BeBiAsW | OQMD | PBE-GGA | relaxed
# Volume = 18.104 A^3/atom
# Calculated density = 10.93 g cm⁻³
data_BeBiAsW
_chemical_formula_sum 'Be4 Bi4 As4 W4'
_space_group_name_H-M_alt 'F -4 3 m'
_space_group_IT_number 216
_space_group_name_Hall 'F -4 2 3'
_cell_length_a 6.6166
_cell_length_b 6.6166
_cell_length_c 6.6166
_cell_angle_alpha 90.00
_cell_angle_beta 90.00
_cell_angle_gamma 90.00
loop_
_atom_site_label
_atom_site_type_symbol
_atom_site_fract_x
_atom_site_fract_y
_atom_site_fract_z
_atom_site_occupancy
Be1 Be 0.0000 0.0000 0.0000 1
Bi1 Bi 0.2500 0.2500 0.2500 1
As1 As 0.0000 0.0000 0.5000 1
W1 W 0.2500 0.2500 0.7500 1

=====

(2)
# BeBiAsW | OQMD | PBE-GGA | relaxed
# Volume = 17.891 A^3/atom
# Calculated density = 11.06 g cm⁻³
data_BeBiAsW
_chemical_formula_sum 'Be4 Bi4 As4 W4'
_space_group_name_H-M_alt 'F -4 3 m'
_space_group_IT_number 216
_space_group_name_Hall 'F -4 2 3'
_cell_length_a 6.5904
_cell_length_b 6.5904
_cell_length_c 6.5904
_cell_angle_alpha 90.00
_cell_angle_beta 90.00
_cell_angle_gamma 90.00
loop_
_atom_site_label
_atom_site_type_symbol
_atom_site_fract_x
_atom_site_fract_y
_atom_site_fract_z
_atom_site_occupancy
Be1 Be 0.0000 0.0000 0.0000 1
Bi1 Bi 0.2500 0.2500 0.2500 1
As1 As 0.2500 0.2500 0.7500 1
W1 W 0.0000 0.0000 0.5000 1

=====

(2) wins, 97 meV/atom ahead of the next structure.

=====

(1)
# BeCdCoAs | OQMD | PBE-GGA | relaxed
# Volume = 14.400 A^3/atom
# Calculated density = 7.36 g cm⁻³
data_BeCdCoAs
_chemical_formula_sum 'Be4 Cd4 Co4 As4'
_space_group_name_H-M_alt 'F -4 3 m'
_space_group_IT_number 216
_space_group_name_Hall 'F -4 2 3'
_cell_length_a 6.1305
_cell_length_b 6.1305
_cell_length_c 6.1305
_cell_angle_alpha 90.00
_cell_angle_beta 90.00
_cell_angle_gamma 90.00
loop_
_atom_site_label
_atom_site_type_symbol
_atom_site_fract_x
_atom_site_fract_y
_atom_site_fract_z
_atom_site_occupancy
Be1 Be 0.0000 0.0000 0.0000 1
Cd1 Cd 0.2500 0.2500 0.2500 1
Co1 Co 0.2500 0.2500 0.7500 1
As1 As 0.0000 0.0000 0.5000 1

=====

(2)
# BeCdCoAs | OQMD | PBE-GGA | relaxed
# Volume = 14.180 A^3/atom
# Calculated density = 7.47 g cm⁻³
data_BeCdCoAs
_chemical_formula_sum 'Be4 Cd4 Co4 As4'
_space_group_name_H-M_alt 'F -4 3 m'
_space_group_IT_number 216
_space_group_name_Hall 'F -4 2 3'
_cell_length_a 6.0991
_cell_length_b 6.0991
_cell_length_c 6.0991
_cell_angle_alpha 90.00
_cell_angle_beta 90.00
_cell_angle_gamma 90.00
loop_
_atom_site_label
_atom_site_type_symbol
_atom_site_fract_x
_atom_site_fract_y
_atom_site_fract_z
_atom_site_occupancy
Be1 Be 0.0000 0.0000 0.0000 1
Cd1 Cd 0.2500 0.2500 0.7500 1
Co1 Co 0.0000 0.0000 0.5000 1
As1 As 0.2500 0.2500 0.2500 1

=====

(2) wins, 50 meV/atom ahead of the next structure.